(1)
Compound: GdAlFe
Source: Alexandria
Functional: PBE-GGA
Structure: relaxed

Structure (POSCAR):
```
GdAlFe
1.0
3.771 0.000 0.000
0.000 4.303 0.000
0.000 -2.152 3.727
Gd Al Fe
1 1 1
Cartesian
2.514 2.152 1.242 Gd
0.628 0.000 0.000 Al
0.629 0.000 2.485 Fe
```

Computed properties:
ΔE_f (eV per atom): -0.06
Volume (A^3/atom): 20.16
Theoretical density (kg/m³): 6591
Total energy (eV per atom): -8.820

(2)
Compound: TaBeMoIr2
Source: Alexandria
Functional: PBE-GGA
Structure: relaxed

Structure (POSCAR):
```
TaBeMoIr2
1.0
4.078 0.000 0.000
0.000 4.399 0.000
0.000 0.000 4.078
Mo Ir Ta Be
1 2 1 1
Cartesian
2.039 2.200 2.039 Mo
0.000 0.000 2.039 Ir
2.039 0.000 0.000 Ir
0.000 2.200 0.000 Ta
0.000 0.000 0.000 Be
```

Computed properties:
ΔE_f (eV per atom): 0.14
Volume (A^3/atom): 14.63
Theoretical density (kg/m³): 15213
Total energy (eV per atom): -8.685

(3)
Compound: BaSb3Ru
Source: Alexandria
Functional: PBE-GGA
Structure: relaxed

Structure (POSCAR):
```
BaSb3Ru
1.0
-5.422 -2.703 0.995
0.385 -2.782 -5.459
2.854 -4.759 2.626
Sb Ru Ba
3 1 1
Cartesian
1.427 -2.380 1.313 Sb
0.193 -1.391 -2.730 Sb
-2.711 -1.351 0.497 Sb
-1.091 -5.122 -0.919 Ru
0.000 0.000 0.000 Ba
```

Computed properties:
Energy relative to the elements, uncorrected (eV per formula unit): 9.20
Volume (A^3/atom): 46.28
Theoretical density (kg/m³): 4332
Total energy (eV per atom): -2.873
Energy relative to the lowest polymorph listed for this composition (eV/f.u.): 9.74

(4)
Compound: InSiHg2
Source: Alexandria
Functional: PBE-GGA
Structure: relaxed

Structure (POSCAR):
```
InSiHg2
1.0
-4.609 -5.269 4.857
-1.351 -5.397 6.454
-3.642 -2.687 7.219
In Hg Si
1 2 1
Cartesian
-2.401 -3.338 4.633 In
-0.095 -0.132 0.183 Hg
-4.706 -6.544 9.082 Hg
-7.202 -10.014 13.898 Si
```

Computed properties:
Energy relative to the elements, uncorrected (eV per formula unit): 1.10
Volume (A^3/atom): 23.57
Theoretical density (kg/m³): 9585
Total energy (eV per atom): -1.916

(5)
Compound: Al2Ga2Bi
Source: Alexandria
Functional: PBE-GGA
Structure: relaxed

Structure (POSCAR):
```
Al2Ga2Bi
1.0
8.186 0.000 0.000
0.000 8.186 0.000
0.000 0.000 3.126
Al Ga Bi
4 4 2
Cartesian
5.152 1.059 0.000 Al
7.127 5.152 0.000 Al
1.059 3.034 0.000 Al
3.034 7.127 0.000 Al
1.353 5.446 1.563 Ga
6.833 2.740 1.563 Ga
5.446 6.833 1.563 Ga
2.740 1.353 1.563 Ga
4.093 4.093 0.000 Bi
0.000 0.000 0.000 Bi
```

Computed properties:
ΔE_f (eV per atom): 0.10
Volume (A^3/atom): 20.95
Theoretical density (kg/m³): 6379
Total energy (eV per atom): -3.380
Energy relative to the lowest polymorph listed for this composition (eV/f.u.): 0.00

(6)
Compound: Dy4HgTe3
Source: Alexandria
Functional: PBE-GGA
Structure: relaxed

Structure (POSCAR):
```
Dy4HgTe3
1.0
4.230 0.000 0.000
0.000 7.621 0.022
0.000 -2.381 7.239
Te Dy Hg
3 4 1
Cartesian
0.000 3.810 0.011 Te
2.115 2.620 3.631 Te
0.000 -1.191 3.620 Te
0.000 3.993 5.534 Dy
2.115 5.198 1.770 Dy
2.115 0.041 5.491 Dy
0.000 1.246 1.727 Dy
2.115 0.000 0.000 Hg
```

Computed properties:
Energy relative to the elements, uncorrected (eV per formula unit): -8.78
Volume (A^3/atom): 29.20
Theoretical density (kg/m³): 8768
Total energy (eV per atom): -4.615